## NiAgIr (GGA-PBE)

Data for an optimized crystal structure of NiAgIr.

Values from the calculation:
Total energy   -62.1 eV per cell
Calculated density   12.1 g cm⁻³
Space-group type   F-43m (216)
E_form   0.66 eV per atom
Energy above the most stable polymorph in this dataset   0.569 eV per atom
Spin magnetization   2.12 μB/f.u.

Lattice parameters (Å, degrees): 5.816 5.816 5.816 90.00 90.00 90.00
Element x y z (fractional)
Ni 0.000 0.000 0.000
Ni 0.000 0.500 0.500
Ni 0.500 0.000 0.500
Ni 0.500 0.500 0.000
Ag 0.250 0.250 0.750
Ag 0.250 0.750 0.250
Ag 0.750 0.250 0.250
Ag 0.750 0.750 0.750
Ir 0.250 0.250 0.250
Ir 0.250 0.750 0.750
Ir 0.750 0.250 0.750
Ir 0.750 0.750 0.250